(1)
A relaxed Zr2Mn crystal, computed with PBEsol.

Cell: 8.4521 8.4521 8.4521 Å, 60.00 60.00 60.00°
With the nearest neighbours (Å) after each atom.
Fractional positions:
Zr (0.0000, 0.0000, 0.0000)  6 Mn 2.59
Zr (0.0000, 0.0000, 0.5000)  6 Mn 2.59
Zr (0.0000, 0.5000, 0.0000)  6 Mn 2.59
Zr (0.1867, 0.1867, 0.5633)  4 Mn 2.82-3.07, 2 Zr 3.07
Zr (0.1867, 0.5633, 0.1867)  4 Mn 2.82-3.07, 2 Zr 3.07
Zr (0.1867, 0.5633, 0.5633)  4 Mn 2.82-3.07, 2 Zr 3.07
Zr (0.4367, 0.4367, 0.8133)  4 Mn 2.82-3.07, 2 Zr 3.07
Zr (0.4367, 0.8133, 0.4367)  4 Mn 2.82-3.07, 2 Zr 3.07
Zr (0.4367, 0.8133, 0.8133)  4 Mn 2.82-3.07, 2 Zr 3.07
Zr (0.5000, 0.0000, 0.0000)  6 Mn 2.59
Zr (0.5633, 0.1867, 0.1867)  4 Mn 2.82-3.07, 2 Zr 3.07
Zr (0.5633, 0.1867, 0.5633)  4 Mn 2.82-3.07, 2 Zr 3.07
Zr (0.5633, 0.5633, 0.1867)  4 Mn 2.82-3.07, 2 Zr 3.07
Zr (0.8133, 0.4367, 0.4367)  4 Mn 2.82-3.07, 2 Zr 3.07
Zr (0.8133, 0.4367, 0.8133)  4 Mn 2.82-3.07, 2 Zr 3.07
Zr (0.8133, 0.8133, 0.4367)  4 Mn 2.82-3.07, 2 Zr 3.07
Mn (0.1268, 0.7911, 0.7911)  6 Zr 2.59-2.82, 3 Mn 2.84
Mn (0.2089, 0.2089, 0.2089)  6 Zr 2.59-2.82, 3 Mn 2.84
Mn (0.2089, 0.2089, 0.8732)  6 Zr 2.59-2.82, 3 Mn 2.84
Mn (0.2089, 0.8732, 0.2089)  6 Zr 2.59-2.82, 3 Mn 2.84
Mn (0.7911, 0.1268, 0.7911)  6 Zr 2.59-2.82, 3 Mn 2.84
Mn (0.7911, 0.7911, 0.1268)  6 Zr 2.59-2.82, 3 Mn 2.84
Mn (0.7911, 0.7911, 0.7911)  6 Zr 2.59-2.82, 3 Mn 2.84
Mn (0.8732, 0.2089, 0.2089)  6 Zr 2.59-2.82, 3 Mn 2.84

Output
Calculated volume = 17.79 A^3/atom
Formation energy = -0.01 eV/atom
Density of states at the Fermi level = 0.786 states/eV/atom

***

(2)
A relaxed Mo2N crystal, computed with PBEsol.

Cell: 5.1887 5.1887 5.1887 Å, 32.17 32.17 32.17°
With the nearest neighbours (Å) after each atom.
Fractional positions:
Mo (0.2433, 0.2433, 0.2433)  3 N 2.13
Mo (0.7567, 0.7567, 0.7567)  3 N 2.13
N (0.0000, 0.0000, 0.0000)  6 Mo 2.13

Output
E_form (uncorrected) = -117 kJ/mol of formula units
Calculated volume = 11.73 A^3/atom
Polymorph energy (0 for the lowest one) = 0.037 eV/atom
Density of states at the Fermi level = 0.597 states/eV/atom

***

(3)
A relaxed Mo2N crystal, computed with PBEsol.

Cell: 4.9699 4.9699 4.9699 Å, 129.89 129.89 73.58°
With the nearest neighbours (Å) after each atom.
Fractional positions:
Mo (0.1147, 0.3647, 0.7500)  3 N 2.07-2.11
Mo (0.3647, 0.1147, 0.2500)  3 N 2.07-2.11
Mo (0.6353, 0.8853, 0.7500)  3 N 2.07-2.11
Mo (0.8853, 0.6353, 0.2500)  3 N 2.07-2.11
N (0.3750, 0.6250, 0.7500)  6 Mo 2.07-2.11
N (0.6250, 0.3750, 0.2500)  6 Mo 2.07-2.11

Output
E_form (uncorrected) = -127 kJ/mol of formula units
Calculated volume = 11.75 A^3/atom
Polymorph energy (0 for the lowest one) = 0.000 eV/atom
Density of states at the Fermi level = 0.669 states/eV/atom

***

(4)
A relaxed Nb2Mo2N crystal, computed with PBEsol.

Cell: 7.5300 7.5300 7.5300 Å, 153.99 153.99 37.12°
With the nearest neighbours (Å) after each atom.
Fractional positions:
Nb (0.2500, 0.7500, 0.5000)  4 Nb 2.40
Nb (0.7500, 0.2500, 0.5000)  4 Nb 2.40
Mo (0.0806, 0.0806, 0.0000)  1 Mo 2.30
Mo (0.9194, 0.9194, 0.0000)  1 Mo 2.30
N (0.5000, 0.5000, 0.0000)  8 Mo 2.66

Output
E_form (uncorrected) = 779 kJ/mol of formula units
Calculated volume = 16.40 A^3/atom
Density of states at the Fermi level = 0.935 states/eV/atom

***

(5)
A relaxed NbMoN3 crystal, computed with PBEsol.

Cell: 3.8532 3.8532 3.8532 Å, 90.00 90.00 90.00°
With the nearest neighbours (Å) after each atom.
Fractional positions:
Nb (0.0000, 0.0000, 0.0000)  12 N 2.72
Mo (0.5000, 0.5000, 0.5000)  6 N 1.93
N (0.0000, 0.5000, 0.5000)  2 Mo 1.93
N (0.5000, 0.0000, 0.5000)  2 Mo 1.93
N (0.5000, 0.5000, 0.0000)  2 Mo 1.93

Output
E_form (uncorrected) = 140 kJ/mol of formula units
Calculated volume = 11.44 A^3/atom
Density of states at the Fermi level = 0.549 states/eV/atom

***

(6)
A relaxed NbMoN2O crystal, computed with PBEsol.

Cell: 3.9074 3.9074 3.7441 Å, 90.00 90.00 90.00°
With the nearest neighbours (Å) after each atom.
Fractional positions:
Nb (0.0000, 0.0000, 0.0000)  8 N 2.71, 4 O 2.76
Mo (0.5000, 0.5000, 0.5000)  2 O 1.87, 4 N 1.95
N (0.0000, 0.5000, 0.5000)  2 Mo 1.95
N (0.5000, 0.0000, 0.5000)  2 Mo 1.95
O (0.5000, 0.5000, 0.0000)  2 Mo 1.87

Output
E_form (uncorrected) = -97 kJ/mol of formula units
Calculated volume = 11.43 A^3/atom
Density of states at the Fermi level = 0.596 states/eV/atom

***

(7)
A relaxed Ni2Mo3N crystal, computed with PBEsol.

Cell: 6.5681 6.5681 6.5681 Å, 90.00 90.00 90.00°
With the nearest neighbours (Å) after each atom.
Fractional positions:
Ni (0.0661, 0.0661, 0.0661)  3 Ni 2.45, 6 Mo 2.70-2.71
Ni (0.1839, 0.8161, 0.3161)  3 Ni 2.45, 6 Mo 2.70-2.71
Ni (0.3161, 0.1839, 0.8161)  3 Ni 2.45, 6 Mo 2.70-2.71
Ni (0.4339, 0.9339, 0.5661)  3 Ni 2.45, 6 Mo 2.70-2.71
Ni (0.5661, 0.4339, 0.9339)  3 Ni 2.45, 6 Mo 2.70-2.71
Ni (0.6839, 0.6839, 0.6839)  3 Ni 2.45, 6 Mo 2.70-2.71
Ni (0.8161, 0.3161, 0.1839)  3 Ni 2.45, 6 Mo 2.70-2.71
Ni (0.9339, 0.5661, 0.4339)  3 Ni 2.45, 6 Mo 2.70-2.71
Mo (0.0494, 0.8750, 0.7006)  2 N 2.06
Mo (0.1250, 0.2006, 0.4506)  2 N 2.06
Mo (0.2006, 0.4506, 0.1250)  2 N 2.06
Mo (0.2994, 0.5494, 0.6250)  2 N 2.06
Mo (0.3750, 0.7994, 0.9506)  2 N 2.06
Mo (0.4506, 0.1250, 0.2006)  2 N 2.06
Mo (0.5494, 0.6250, 0.2994)  2 N 2.06
Mo (0.6250, 0.2994, 0.5494)  2 N 2.06
Mo (0.7006, 0.0494, 0.8750)  2 N 2.06
Mo (0.7994, 0.9506, 0.3750)  2 N 2.06
Mo (0.8750, 0.7006, 0.0494)  2 N 2.06
Mo (0.9506, 0.3750, 0.7994)  2 N 2.06
N (0.1250, 0.6250, 0.8750)  6 Mo 2.06
N (0.3750, 0.3750, 0.3750)  6 Mo 2.06
N (0.6250, 0.8750, 0.1250)  6 Mo 2.06
N (0.8750, 0.1250, 0.6250)  6 Mo 2.06

Output
E_form (uncorrected) = -215 kJ/mol of formula units
Calculated volume = 11.81 A^3/atom
Density of states at the Fermi level = 0.548 states/eV/atom

***

(8)
A relaxed MoOsN2O crystal, computed with PBEsol.

Cell: 3.8515 3.8515 3.8186 Å, 90.00 90.00 90.00°
With the nearest neighbours (Å) after each atom.
Fractional positions:
Mo (0.0000, 0.0000, 0.0000)  8 N 2.71, 4 O 2.72
Os (0.5000, 0.5000, 0.5000)  2 O 1.91, 4 N 1.93
N (0.0000, 0.5000, 0.5000)  2 Os 1.93
N (0.5000, 0.0000, 0.5000)  2 Os 1.93
O (0.5000, 0.5000, 0.0000)  2 Os 1.91

Output
E_form (uncorrected) = 378 kJ/mol of formula units
Calculated volume = 11.33 A^3/atom
Density of states at the Fermi level = 0.792 states/eV/atom

***

(9)
A relaxed MoRhN2O crystal, computed with PBEsol.

Cell: 3.7845 3.7845 3.7803 Å, 90.00 90.00 90.00°
With the nearest neighbours (Å) after each atom.
Fractional positions:
Mo (0.0000, 0.0000, 0.0000)  8 N 2.67, 4 O 2.68
Rh (0.5000, 0.5000, 0.5000)  2 O 1.89, 4 N 1.89
N (0.0000, 0.5000, 0.5000)  2 Rh 1.89
N (0.5000, 0.0000, 0.5000)  2 Rh 1.89
O (0.5000, 0.5000, 0.0000)  2 Rh 1.89

Output
E_form (uncorrected) = 456 kJ/mol of formula units
Calculated volume = 10.83 A^3/atom
Density of states at the Fermi level = 0.723 states/eV/atom

***

(10)
A relaxed MoRhNO2 crystal, computed with PBEsol.

Cell: 3.8042 3.8042 3.9704 Å, 90.00 90.00 90.00°
With the nearest neighbours (Å) after each atom.
Fractional positions:
Mo (0.0000, 0.0000, 0.0000)  4 O 1.90, 2 N 1.99
Rh (0.5000, 0.5000, 0.5000)  4 N 2.69, 8 O 2.75
N (0.0000, 0.0000, 0.5000)  2 Mo 1.99
O (0.0000, 0.5000, 0.0000)  2 Mo 1.90
O (0.5000, 0.0000, 0.0000)  2 Mo 1.90

Output
E_form (uncorrected) = -116 kJ/mol of formula units
Calculated volume = 11.49 A^3/atom
Density of states at the Fermi level = 0.909 states/eV/atom

***

(11)
A relaxed MoWNO2 crystal, computed with PBEsol.

Cell: 3.8354 3.8354 4.0530 Å, 90.00 90.00 90.00°
With the nearest neighbours (Å) after each atom.
Fractional positions:
Mo (0.0000, 0.0000, 0.0000)  4 N 2.71, 8 O 2.79
W (0.5000, 0.5000, 0.5000)  4 O 1.92, 2 N 2.03
N (0.5000, 0.5000, 0.0000)  2 W 2.03
O (0.0000, 0.5000, 0.5000)  2 W 1.92
O (0.5000, 0.0000, 0.5000)  2 W 1.92

Output
E_form (uncorrected) = -163 kJ/mol of formula units
Calculated volume = 11.92 A^3/atom
Density of states at the Fermi level = 0.533 states/eV/atom

***

(12)
A relaxed MoOsN2 crystal, computed with PBEsol.

Cell: 3.7942 3.7942 3.7942 Å, 60.00 60.00 60.00°
With the nearest neighbours (Å) after each atom.
Fractional positions:
Mo (0.0000, 0.0000, 0.0000)  8 N 2.32
Os (0.5000, 0.5000, 0.5000)  8 N 2.32
N (0.2500, 0.2500, 0.2500)  4 Mo 2.32, 4 Os 2.32
N (0.7500, 0.7500, 0.7500)  4 Os 2.32, 4 Mo 2.32

Output
E_form (uncorrected) = 301 kJ/mol of formula units
Calculated volume = 9.66 A^3/atom
Density of states at the Fermi level = 0.648 states/eV/atom

***

(13)
A relaxed MoOsN3 crystal, computed with PBEsol.

Cell: 3.8192 3.8192 3.8192 Å, 90.00 90.00 90.00°
With the nearest neighbours (Å) after each atom.
Fractional positions:
Mo (0.0000, 0.0000, 0.0000)  12 N 2.70
Os (0.5000, 0.5000, 0.5000)  6 N 1.91
N (0.0000, 0.5000, 0.5000)  2 Os 1.91
N (0.5000, 0.0000, 0.5000)  2 Os 1.91
N (0.5000, 0.5000, 0.0000)  2 Os 1.91

Output
E_form (uncorrected) = 572 kJ/mol of formula units
Calculated volume = 11.14 A^3/atom
Density of states at the Fermi level = 0.743 states/eV/atom

***

(14)
A relaxed MoP2N crystal, computed with PBEsol.

Cell: 5.2634 5.2634 5.2634 Å, 120.06 120.06 89.90°
With the nearest neighbours (Å) after each atom.
Fractional positions:
Mo (0.0000, 0.0000, 0.0000)  4 P 2.34
Mo (0.7500, 0.2500, 0.5000)  4 P 2.34
P (0.1966, 0.1250, 0.5716)  2 N 1.86
P (0.3750, 0.8034, 0.9284)  2 N 1.86
P (0.5534, 0.6250, 0.4284)  2 N 1.86
P (0.8750, 0.4466, 0.0716)  2 N 1.86
N (0.2500, 0.7500, 0.5000)  4 P 1.86
N (0.5000, 0.5000, 0.0000)  4 P 1.86

Output
E_form (uncorrected) = 96 kJ/mol of formula units
Calculated volume = 12.88 A^3/atom
Density of states at the Fermi level = 0.410 states/eV/atom

***

(15)
A relaxed MoPS2N crystal, computed with PBEsol.

Cell: 4.5646 4.5646 4.7494 Å, 90.00 90.00 90.00°
With the nearest neighbours (Å) after each atom.
Fractional positions:
Mo (0.0000, 0.0000, 0.0000)  4 S 2.28, 2 P 2.37
P (0.0000, 0.0000, 0.5000)  2 Mo 2.37
S (0.0000, 0.5000, 0.0000)  2 Mo 2.28
S (0.5000, 0.0000, 0.0000)  2 Mo 2.28
N (0.5000, 0.5000, 0.5000)  4 P 3.23, 8 S 3.29

Output
E_form (uncorrected) = 575 kJ/mol of formula units
Calculated volume = 19.79 A^3/atom
Density of states at the Fermi level = 0.727 states/eV/atom

***

(16)
A relaxed Mo3Pd2N crystal, computed with PBEsol.

Cell: 6.7785 6.7785 6.7785 Å, 90.00 90.00 90.00°
With the nearest neighbours (Å) after each atom.
Fractional positions:
Mo (0.0476, 0.1250, 0.7976)  2 N 2.13
Mo (0.1250, 0.7976, 0.0476)  2 N 2.13
Mo (0.2024, 0.5476, 0.3750)  2 N 2.13
Mo (0.2976, 0.4524, 0.8750)  2 N 2.13
Mo (0.3750, 0.2024, 0.5476)  2 N 2.13
Mo (0.4524, 0.8750, 0.2976)  2 N 2.13
Mo (0.5476, 0.3750, 0.2024)  2 N 2.13
Mo (0.6250, 0.7024, 0.9524)  2 N 2.13
Mo (0.7024, 0.9524, 0.6250)  2 N 2.13
Mo (0.7976, 0.0476, 0.1250)  2 N 2.13
Mo (0.8750, 0.2976, 0.4524)  2 N 2.13
Mo (0.9524, 0.6250, 0.7024)  2 N 2.13
Pd (0.0603, 0.9397, 0.4397)  3 Pd 2.55, 3 Mo 2.73
Pd (0.1897, 0.1897, 0.1897)  3 Pd 2.55, 3 Mo 2.73
Pd (0.3103, 0.8103, 0.6897)  3 Pd 2.55, 3 Mo 2.73
Pd (0.4397, 0.0603, 0.9397)  3 Pd 2.55, 3 Mo 2.73
Pd (0.5603, 0.5603, 0.5603)  3 Pd 2.55, 3 Mo 2.73
Pd (0.6897, 0.3103, 0.8103)  3 Pd 2.55, 3 Mo 2.73
Pd (0.8103, 0.6897, 0.3103)  3 Pd 2.55, 3 Mo 2.73
Pd (0.9397, 0.4397, 0.0603)  3 Pd 2.55, 3 Mo 2.73
N (0.1250, 0.3750, 0.6250)  6 Mo 2.13
N (0.3750, 0.6250, 0.1250)  6 Mo 2.13
N (0.6250, 0.1250, 0.3750)  6 Mo 2.13
N (0.8750, 0.8750, 0.8750)  6 Mo 2.13

Output
E_form (uncorrected) = -196 kJ/mol of formula units
Calculated volume = 12.98 A^3/atom
Density of states at the Fermi level = 0.413 states/eV/atom

***

(17)
A relaxed Mo3PdN crystal, computed with PBEsol.

Cell: 4.0547 4.0547 4.0547 Å, 90.00 90.00 90.00°
With the nearest neighbours (Å) after each atom.
Fractional positions:
Mo (0.0000, 0.0000, 0.5000)  2 N 2.03
Mo (0.0000, 0.5000, 0.0000)  2 N 2.03
Mo (0.5000, 0.0000, 0.0000)  2 N 2.03
Pd (0.5000, 0.5000, 0.5000)  12 Mo 2.87
N (0.0000, 0.0000, 0.0000)  6 Mo 2.03

Output
E_form (uncorrected) = -125 kJ/mol of formula units
Calculated volume = 13.33 A^3/atom
Density of states at the Fermi level = 0.718 states/eV/atom

***

(18)
A relaxed MoPdS2N crystal, computed with PBEsol.

Cell: 4.7089 4.7089 3.7136 Å, 90.00 90.00 90.00°
With the nearest neighbours (Å) after each atom.
Fractional positions:
Mo (0.0000, 0.0000, 0.0000)  2 N 1.86
Pd (0.5000, 0.5000, 0.5000)  8 S 3.00, 4 N 3.33
S (0.0000, 0.5000, 0.0000)  2 Mo 2.35
S (0.5000, 0.0000, 0.0000)  2 Mo 2.35
N (0.0000, 0.0000, 0.5000)  2 Mo 1.86

Output
E_form (uncorrected) = 155 kJ/mol of formula units
Calculated volume = 16.47 A^3/atom
Density of states at the Fermi level = 0.990 states/eV/atom

***

(19)
A relaxed Te2MoPdN crystal, computed with PBEsol.

Cell: 5.3614 5.3614 3.6176 Å, 90.00 90.00 90.00°
With the nearest neighbours (Å) after each atom.
Fractional positions:
Te (0.0000, 0.5000, 0.0000)  2 Pd 2.68
Te (0.5000, 0.0000, 0.0000)  2 Pd 2.68
Mo (0.0000, 0.0000, 0.5000)  8 Te 3.23, 2 Mo 3.62
Pd (0.5000, 0.5000, 0.0000)  2 N 1.81
N (0.5000, 0.5000, 0.5000)  2 Pd 1.81

Output
E_form (uncorrected) = 489 kJ/mol of formula units
Calculated volume = 20.80 A^3/atom
Density of states at the Fermi level = 0.723 states/eV/atom

***

(20)
A relaxed Mo3PtN crystal, computed with PBEsol.

Cell: 4.0532 4.0532 4.0532 Å, 90.00 90.00 90.00°
With the nearest neighbours (Å) after each atom.
Fractional positions:
Mo (0.0000, 0.0000, 0.5000)  2 N 2.03
Mo (0.0000, 0.5000, 0.0000)  2 N 2.03
Mo (0.5000, 0.0000, 0.0000)  2 N 2.03
Pt (0.5000, 0.5000, 0.5000)  12 Mo 2.87
N (0.0000, 0.0000, 0.0000)  6 Mo 2.03

Output
E_form (uncorrected) = -189 kJ/mol of formula units
Calculated volume = 13.32 A^3/atom
Density of states at the Fermi level = 0.788 states/eV/atom